Record 1
Entry from Alexandria via LeMat-Bulk: a relaxed structure of TiP3O9 (GGA-PBE).

Energy above the most stable polymorph in this dataset, kcal/mol of atoms: 0.00
Formation energy (no corrections), eV per atom: -2.28
Space group: Cc, No. 9

a b c (Å): 11.9261 11.9261 9.7257
angles (deg): 110.01 110.01 110.79
Positions (direct):
Ti: 0.0799 0.9201 0.5000
Ti: 0.2635 0.7722 0.0339
Ti: 0.4102 0.5857 0.4989
Ti: 0.5857 0.4102 0.9989
Ti: 0.7722 0.2635 0.5339
Ti: 0.9201 0.0799 0.0000
P: 0.0042 0.7318 0.6865
P: 0.0584 0.4342 0.2457
P: 0.0661 0.6703 0.1948
P: 0.1066 0.1706 0.8241
P: 0.1294 0.4169 0.7900
P: 0.1706 0.1066 0.3241
P: 0.3223 0.3800 0.6599
P: 0.3800 0.3223 0.1599
P: 0.4169 0.1294 0.2900
P: 0.4342 0.0584 0.7457
P: 0.4511 0.8476 0.8497
P: 0.5212 0.7924 0.3515
P: 0.6703 0.0661 0.6948
P: 0.7168 0.7601 0.2305
P: 0.7318 0.0042 0.1865
P: 0.7601 0.7168 0.7305
P: 0.7924 0.5212 0.8515
P: 0.8476 0.4511 0.3497
O: 0.0198 0.2923 0.1168
O: 0.0325 0.5131 0.1438
O: 0.0634 0.7355 0.3552
O: 0.0683 0.8564 0.6703
O: 0.0836 0.7419 0.8520
O: 0.0944 0.9765 0.3250
O: 0.1025 0.1042 0.6590
O: 0.1042 0.1025 0.1590
O: 0.1522 0.3322 0.8835
O: 0.1834 0.5614 0.9293
O: 0.1952 0.7539 0.1966
O: 0.1957 0.2386 0.4786
O: 0.2032 0.5296 0.4062
O: 0.2334 0.4350 0.7198
O: 0.2386 0.1957 0.9786
O: 0.2923 0.0198 0.6168
O: 0.3322 0.1522 0.3835
O: 0.3325 0.9802 0.1399
O: 0.3420 0.7643 0.8771
O: 0.3493 0.4024 0.2822
O: 0.4024 0.3493 0.7822
O: 0.4022 0.9424 0.7963
O: 0.4050 0.4843 0.6256
O: 0.4238 0.6851 0.3695
O: 0.4350 0.2334 0.2198
O: 0.4544 0.8238 0.2205
O: 0.4789 0.7676 0.7229
O: 0.4843 0.4050 0.1256
O: 0.5131 0.0325 0.6438
O: 0.5296 0.2032 0.9062
O: 0.5614 0.1834 0.4293
O: 0.5943 0.9706 0.0314
O: 0.6156 0.6519 0.5824
O: 0.6236 0.7458 0.3163
O: 0.6375 0.9329 0.5358
O: 0.6519 0.6156 0.0824
O: 0.6851 0.4238 0.8695
O: 0.6901 0.8470 0.1433
O: 0.7355 0.0634 0.8552
O: 0.7419 0.0836 0.3520
O: 0.7458 0.6236 0.8163
O: 0.7539 0.1952 0.6966
O: 0.7643 0.3420 0.3771
O: 0.7676 0.4789 0.2229
O: 0.8238 0.4544 0.7205
O: 0.8379 0.8690 0.8703
O: 0.8470 0.6901 0.6433
O: 0.8564 0.0683 0.1703
O: 0.8690 0.8379 0.3703
O: 0.9329 0.6375 0.0358
O: 0.9424 0.4022 0.2963
O: 0.9706 0.5943 0.5314
O: 0.9765 0.0944 0.8250
O: 0.9802 0.3325 0.6399


Record 2
Entry from Alexandria via LeMat-Bulk: a relaxed structure of TiP4O12 (GGA-PBE).

Energy above the most stable polymorph in this dataset, kcal/mol of atoms: 0.69
Formation energy (no corrections), eV per atom: -2.22
Space group: C2/c, No. 15

a b c (Å): 7.0784 7.0784 9.4974
angles (deg): 92.43 92.43 109.09
Positions (direct):
Ti: 0.1150 0.8850 0.7500
Ti: 0.8850 0.1150 0.2500
P: 0.2154 0.2724 0.5303
P: 0.2724 0.2154 0.0303
P: 0.2859 0.6337 0.9680
P: 0.3663 0.7141 0.5320
P: 0.6337 0.2859 0.4680
P: 0.7141 0.3663 0.0320
P: 0.7276 0.7846 0.9697
P: 0.7846 0.7276 0.4697
O: 0.0618 0.2625 0.4114
O: 0.1355 0.1429 0.1484
O: 0.1429 0.1355 0.6484
O: 0.1440 0.6650 0.8512
O: 0.2241 0.3921 0.9559
O: 0.2625 0.0618 0.9114
O: 0.2743 0.7050 0.3903
O: 0.2950 0.7257 0.1097
O: 0.3060 0.4931 0.6008
O: 0.3350 0.8560 0.6488
O: 0.3921 0.2241 0.4559
O: 0.4931 0.3060 0.1008
O: 0.5069 0.6940 0.8992
O: 0.6079 0.7759 0.5441
O: 0.6650 0.1440 0.3512
O: 0.6940 0.5069 0.3992
O: 0.7050 0.2743 0.8903
O: 0.7257 0.2950 0.6097
O: 0.7375 0.9382 0.0886
O: 0.7759 0.6079 0.0441
O: 0.8560 0.3350 0.1488
O: 0.8571 0.8645 0.3516
O: 0.8645 0.8571 0.8516
O: 0.9382 0.7375 0.5886


Record 3
Entry from Alexandria via LeMat-Bulk: a relaxed structure of Ti3PO (GGA-PBE).

Energy above the most stable polymorph in this dataset, kcal/mol of atoms: 1.69
Formation energy (no corrections), eV per atom: -1.16
Space group: Pnma, No. 62

a b c (Å): 5.7387 9.3649 5.3536
angles (deg): 90.00 90.00 90.00
Positions (direct):
Ti: 0.0846 0.2500 0.1843
Ti: 0.1841 0.1181 0.6765
Ti: 0.1841 0.3819 0.6765
Ti: 0.3159 0.6181 0.1765
Ti: 0.3159 0.8819 0.1765
Ti: 0.4154 0.7500 0.6843
Ti: 0.5846 0.2500 0.3157
Ti: 0.6841 0.1181 0.8235
Ti: 0.6841 0.3819 0.8235
Ti: 0.8159 0.6181 0.3235
Ti: 0.8159 0.8819 0.3235
Ti: 0.9154 0.7500 0.8157
P: 0.0000 0.0000 0.0000
P: 0.0000 0.5000 0.0000
P: 0.5000 0.0000 0.5000
P: 0.5000 0.5000 0.5000
O: 0.1059 0.7500 0.4458
O: 0.3941 0.2500 0.9458
O: 0.6059 0.7500 0.0542
O: 0.8941 0.2500 0.5542


Record 4
Entry from Alexandria via LeMat-Bulk: a relaxed structure of TiPO6 (GGA-PBE).

Formation energy (no corrections), eV per atom: -1.61
Space group: Fm-3m, No. 225

a b c (Å): 5.0771 5.0771 5.0771
angles (deg): 60.00 60.00 60.00
Positions (direct):
Ti: 0.0000 0.0000 0.0000
P: 0.5000 0.5000 0.5000
O: 0.2693 0.2693 0.7307
O: 0.2693 0.7307 0.2693
O: 0.2693 0.7307 0.7307
O: 0.7307 0.2693 0.2693
O: 0.7307 0.2693 0.7307
O: 0.7307 0.7307 0.2693


Record 5
Entry from Alexandria via LeMat-Bulk: a relaxed structure of Ti4P3O15 (GGA-PBE).

Formation energy (no corrections), eV per atom: -2.65
Space group: Fdd2, No. 43

a b c (Å): 19.8772 11.7760 22.4846
angles (deg): 61.94 31.52 86.54
Positions (direct):
Ti: 0.0301 0.8848 0.8826
Ti: 0.0326 0.8759 0.2150
Ti: 0.0350 0.3735 0.2174
Ti: 0.0451 0.3797 0.8860
Ti: 0.0476 0.3674 0.3652
Ti: 0.0776 0.4218 0.6826
Ti: 0.0794 0.4115 0.0152
Ti: 0.2348 0.7561 0.1706
Ti: 0.3640 0.5608 0.2049
Ti: 0.3674 0.0476 0.2199
Ti: 0.3735 0.0350 0.3741
Ti: 0.3797 0.0451 0.6892
Ti: 0.4115 0.0794 0.4939
Ti: 0.4218 0.0776 0.8181
Ti: 0.4259 0.5741 0.4923
Ti: 0.4320 0.5674 0.8282
Ti: 0.5608 0.3640 0.8703
Ti: 0.5674 0.4320 0.1724
Ti: 0.5741 0.4259 0.5077
Ti: 0.7423 0.7577 0.6759
Ti: 0.7561 0.2348 0.8385
Ti: 0.7577 0.7423 0.8241
Ti: 0.8759 0.0326 0.8765
Ti: 0.8848 0.0301 0.2024
P: 0.0157 0.6787 0.4851
P: 0.0169 0.6846 0.8176
P: 0.0302 0.6971 0.1306
P: 0.1079 0.1194 0.5529
P: 0.1149 0.1149 0.8851
P: 0.1194 0.1079 0.2198
P: 0.3378 0.3470 0.4896
P: 0.3470 0.3378 0.8256
P: 0.3649 0.3649 0.1351
P: 0.4244 0.7604 0.9030
P: 0.4295 0.7649 0.5713
P: 0.4324 0.7692 0.2331
P: 0.6787 0.0157 0.8205
P: 0.6846 0.0169 0.4808
P: 0.6971 0.0302 0.1421
P: 0.7604 0.4244 0.9122
P: 0.7649 0.4295 0.2343
P: 0.7692 0.4324 0.5654
O: 0.0019 0.5294 0.8820
O: 0.0019 0.5327 0.2046
O: 0.0145 0.9863 0.9380
O: 0.0454 0.9891 0.2481
O: 0.1129 0.8262 0.7642
O: 0.1256 0.7444 0.3274
O: 0.1256 0.8357 0.0787
O: 0.1428 0.8389 0.3963
O: 0.1467 0.8000 0.6368
O: 0.1528 0.2917 0.6318
O: 0.1608 0.2779 0.9695
O: 0.1611 0.8131 0.9492
O: 0.1668 0.4719 0.0084
O: 0.1713 0.2900 0.1244
O: 0.1734 0.3008 0.4369
O: 0.1750 0.3020 0.7829
O: 0.1874 0.4946 0.6522
O: 0.1888 0.3120 0.2637
O: 0.2184 0.5434 0.2701
O: 0.2416 0.8971 0.0832
O: 0.2729 0.6411 0.4311
O: 0.2779 0.1608 0.5918
O: 0.2805 0.6582 0.0892
O: 0.2819 0.9799 0.7066
O: 0.2900 0.1713 0.4143
O: 0.2917 0.1528 0.9237
O: 0.2997 0.6467 0.7525
O: 0.3008 0.1734 0.0889
O: 0.3020 0.1750 0.7400
O: 0.3081 0.9757 0.3600
O: 0.3120 0.1888 0.2355
O: 0.3263 0.6182 0.9583
O: 0.3373 0.6281 0.6192
O: 0.3680 0.6633 0.2481
O: 0.4426 0.4785 0.4321
O: 0.4438 0.4625 0.7779
O: 0.4474 0.9226 0.5056
O: 0.4625 0.4438 0.3159
O: 0.4671 0.5100 0.0750
O: 0.4719 0.1668 0.3529
O: 0.4721 0.9341 0.8062
O: 0.4785 0.4426 0.6468
O: 0.4858 0.9533 0.1371
O: 0.4946 0.1874 0.6658
O: 0.4975 0.9488 0.9503
O: 0.5100 0.4671 0.9480
O: 0.5294 0.0019 0.5867
O: 0.5327 0.0019 0.2609
O: 0.5434 0.2184 0.9681
O: 0.5610 0.5610 0.4390
O: 0.5842 0.5978 0.7554
O: 0.5952 0.8189 0.6089
O: 0.5978 0.5842 0.0626
O: 0.6032 0.8179 0.7715
O: 0.6132 0.8335 0.1033
O: 0.6145 0.8344 0.2638
O: 0.6182 0.3263 0.0972
O: 0.6281 0.3373 0.4154
O: 0.6279 0.8537 0.4111
O: 0.6308 0.8346 0.9127
O: 0.6411 0.2729 0.6548
O: 0.6467 0.2997 0.3012
O: 0.6582 0.2805 0.9721
O: 0.6633 0.3680 0.7206
O: 0.7444 0.1256 0.8026
O: 0.8000 0.1467 0.4165
O: 0.8110 0.8110 0.6890
O: 0.8131 0.1611 0.0766
O: 0.8179 0.6032 0.8074
O: 0.8189 0.5952 0.9771
O: 0.8262 0.1129 0.2967
O: 0.8335 0.6132 0.4500
O: 0.8344 0.6145 0.2873
O: 0.8346 0.6308 0.6219
O: 0.8357 0.1256 0.9600
O: 0.8389 0.1428 0.6221
O: 0.8537 0.6279 0.1072
O: 0.8900 0.8937 0.9419
O: 0.8937 0.8900 0.2743
O: 0.8971 0.2416 0.7781
O: 0.9226 0.4474 0.1244
O: 0.9341 0.4721 0.7875
O: 0.9488 0.4975 0.6033
O: 0.9533 0.4858 0.4238
O: 0.9627 0.9862 0.4156
O: 0.9757 0.3081 0.3563
O: 0.9799 0.2819 0.0316
O: 0.9863 0.0145 0.0612
O: 0.9862 0.9627 0.6355
O: 0.9891 0.0454 0.7173


Record 6
Entry from Alexandria via LeMat-Bulk: a relaxed structure of Ti2P2O11 (GGA-PBE).

Formation energy (no corrections), eV per atom: -1.94
Space group: P-1, No. 2

a b c (Å): 5.2760 9.1654 9.8352
angles (deg): 76.05 87.68 85.87
Positions (direct):
Ti: 0.0707 0.3991 0.2828
Ti: 0.2662 0.7687 0.1732
Ti: 0.7338 0.2313 0.8268
Ti: 0.9293 0.6009 0.7172
P: 0.2245 0.1650 0.0640
P: 0.2310 0.3141 0.6167
P: 0.7690 0.6859 0.3833
P: 0.7755 0.8350 0.9360
O: 0.0199 0.2171 0.6963
O: 0.0227 0.8077 0.0180
O: 0.1789 0.4817 0.6242
O: 0.2005 0.7658 0.6657
O: 0.2057 0.2594 0.1762
O: 0.2246 0.5667 0.8357
O: 0.2351 0.3094 0.4608
O: 0.2424 0.5659 0.2023
O: 0.2666 0.9986 0.1379
O: 0.4512 0.2173 0.9658
O: 0.4897 0.2503 0.6790
O: 0.5103 0.7497 0.3210
O: 0.5488 0.7827 0.0342
O: 0.7334 0.0014 0.8621
O: 0.7576 0.4341 0.7977
O: 0.7649 0.6906 0.5392
O: 0.7754 0.4333 0.1643
O: 0.7943 0.7406 0.8238
O: 0.7995 0.2342 0.3343
O: 0.8211 0.5183 0.3758
O: 0.9773 0.1923 0.9820
O: 0.9801 0.7829 0.3037